## CsVBr4 (PBE)

Data for a relaxed CsVBr4 crystal.

```
data_CsVBr4
_symmetry_space_group_name_H-M 'C 1 2/c 1'
_symmetry_Int_Tables_number 15
_cell_length_a 12.236
_cell_length_b 6.554
_cell_length_c 12.815
_cell_angle_alpha 90.00
_cell_angle_beta 95.16
_cell_angle_gamma 90.00
loop_
_symmetry_equiv_pos_as_xyz
'x,y,z'
'-x,-y,-z'
'-x,y,-z+1/2'
'x,-y,z+1/2'
'x+1/2,y+1/2,z'
'-x+1/2,-y+1/2,-z'
'-x+1/2,y+1/2,-z+1/2'
'x+1/2,-y+1/2,z+1/2'
loop_
_atom_site_label
_atom_site_type_symbol
_atom_site_fract_x
_atom_site_fract_y
_atom_site_fract_z
Cs1 Cs 0.250 0.250 0.000
V1 V 0.000 0.089 0.250
Br1 Br 0.043 0.285 0.406
Br2 Br 0.154 0.119 0.719
```

Computed properties:
Distance to the lowest polymorph of the same formula (eV per atom): 0.000
Energy relative to the elements, uncorrected (eV per atom): -1.17

=====

## KTl2SbS4 (PBE)

Data for a relaxed KTl2SbS4 crystal.

```
data_KTl2SbS4
_symmetry_space_group_name_H-M 'I m m a'
_symmetry_Int_Tables_number 74
_symmetry_space_group_name_Hall '-I 2b 2'
_cell_length_a 8.354
_cell_length_b 8.377
_cell_length_c 11.911
_cell_angle_alpha 90.00
_cell_angle_beta 90.00
_cell_angle_gamma 90.00
loop_
_atom_site_label
_atom_site_type_symbol
_atom_site_fract_x
_atom_site_fract_y
_atom_site_fract_z
K1 K 0.250 0.250 0.250
Tl1 Tl 0.000 0.000 0.000
Tl2 Tl 0.250 0.250 0.750
Sb1 Sb 0.000 0.000 0.500
S1 S 0.000 0.030 0.736
S2 S 0.224 0.250 0.512
```

Computed properties:
Energy relative to the elements, uncorrected (eV per atom): -0.41

=====

## TiNiH2 (PBE)

Data for a relaxed TiNiH2 crystal.

```
data_TiNiH2
_symmetry_space_group_name_H-M 'F m -3 m'
_symmetry_Int_Tables_number 225
_symmetry_space_group_name_Hall '-F 4 2 3'
_cell_length_a 5.042
_cell_length_b 5.042
_cell_length_c 5.042
_cell_angle_alpha 90.00
_cell_angle_beta 90.00
_cell_angle_gamma 90.00
loop_
_atom_site_label
_atom_site_type_symbol
_atom_site_fract_x
_atom_site_fract_y
_atom_site_fract_z
Ti1 Ti 0.000 0.000 0.000
Ni1 Ni 0.000 0.000 0.500
H1 H 0.250 0.250 0.250
```

Computed properties:
Distance to the lowest polymorph of the same formula (eV per atom): 0.254

=====

## NaTl2Re (PBE)

Data for a relaxed NaTl2Re crystal.

```
data_NaTl2Re
_symmetry_space_group_name_H-M 'I -4 2 d'
_symmetry_Int_Tables_number 122
_symmetry_space_group_name_Hall 'I -4 2bw'
_cell_length_a 4.826
_cell_length_b 4.826
_cell_length_c 18.831
_cell_angle_alpha 90.00
_cell_angle_beta 90.00
_cell_angle_gamma 90.00
loop_
_atom_site_label
_atom_site_type_symbol
_atom_site_fract_x
_atom_site_fract_y
_atom_site_fract_z
Na1 Na 0.000 0.000 0.000
Tl1 Tl 0.202 0.250 0.625
Re1 Re 0.000 0.000 0.500
```

Computed properties:
Distance to the lowest polymorph of the same formula (eV per atom): 0.301
ΔH_f (0 K) (eV/atom): 1.12

=====

## CrGaTe2N (PBE)

Data for a relaxed CrGaTe2N crystal.

```
data_CrGaTe2N
_symmetry_space_group_name_H-M 'P 4/m m m'
_symmetry_Int_Tables_number 123
_symmetry_space_group_name_Hall '-P 4 2'
_cell_length_a 5.498
_cell_length_b 5.498
_cell_length_c 3.535
_cell_angle_alpha 90.00
_cell_angle_beta 90.00
_cell_angle_gamma 90.00
loop_
_atom_site_label
_atom_site_type_symbol
_atom_site_fract_x
_atom_site_fract_y
_atom_site_fract_z
Cr1 Cr 0.000 0.000 0.000
Ga1 Ga 0.500 0.500 0.500
Te1 Te 0.000 0.500 0.000
N1 N 0.000 0.000 0.500
```

Computed properties:
Distance to the lowest polymorph of the same formula (eV per atom): 0.000
Energy relative to the elements, uncorrected (eV per atom): 0.10

=====

## AcTb6Sm2 (PBE)

Data for a relaxed AcTb6Sm2 crystal.

```
data_AcTb6Sm2
_symmetry_space_group_name_H-M 'C 1 2/c 1'
_symmetry_Int_Tables_number 15
_cell_length_a 10.901
_cell_length_b 17.767
_cell_length_c 6.277
_cell_angle_alpha 90.00
_cell_angle_beta 94.50
_cell_angle_gamma 90.00
loop_
_symmetry_equiv_pos_as_xyz
'x,y,z'
'-x,-y,-z'
'-x,y,-z+1/2'
'x,-y,z+1/2'
'x+1/2,y+1/2,z'
'-x+1/2,-y+1/2,-z'
'-x+1/2,y+1/2,-z+1/2'
'x+1/2,-y+1/2,z+1/2'
loop_
_atom_site_label
_atom_site_type_symbol
_atom_site_fract_x
_atom_site_fract_y
_atom_site_fract_z
Ac1 Ac 0.000 0.249 0.250
Tb1 Tb 0.091 0.075 0.990
Tb2 Tb 0.091 0.424 0.992
Tb3 Tb 0.160 0.249 0.773
Sm1 Sm 0.250 0.095 0.499
```

Computed properties:
Distance to the lowest polymorph of the same formula (eV per atom): 0.041
ΔH_f (0 K) (eV/atom): 0.12

=====

## Er2PtI (PBE)

Data for a relaxed Er2PtI crystal.

```
data_Er2PtI
_symmetry_space_group_name_H-M 'R 3 m'
_symmetry_Int_Tables_number 160
_symmetry_space_group_name_Hall 'R 3 -2"'
_cell_length_a 4.1388
_cell_length_b 4.1388
_cell_length_c 23.7091
_cell_angle_alpha 90.00
_cell_angle_beta 90.00
_cell_angle_gamma 120.00
loop_
_atom_site_label
_atom_site_type_symbol
_atom_site_fract_x
_atom_site_fract_y
_atom_site_fract_z
Er1 Er 0.0000 0.0000 0.0000
Er2 Er 0.0000 0.0000 0.2142
Pt1 Pt 0.0000 0.0000 0.6068
I1 I 0.0000 0.0000 0.4373
```

Computed properties:
Energy relative to the elements, uncorrected (eV per atom): -1.11

=====

## Cd3InN (PBE)

Data for a relaxed Cd3InN crystal.

```
data_Cd3InN
_symmetry_space_group_name_H-M 'P m -3 m'
_symmetry_Int_Tables_number 221
_symmetry_space_group_name_Hall '-P 4 2 3'
_cell_length_a 5.636
_cell_length_b 5.636
_cell_length_c 5.636
_cell_angle_alpha 90.00
_cell_angle_beta 90.00
_cell_angle_gamma 90.00
loop_
_atom_site_label
_atom_site_type_symbol
_atom_site_fract_x
_atom_site_fract_y
_atom_site_fract_z
Cd1 Cd 0.000 0.000 0.500
In1 In 0.000 0.000 0.000
N1 N 0.500 0.500 0.500
```

Computed properties:
Distance to the lowest polymorph of the same formula (eV per atom): 0.758
Energy relative to the elements, uncorrected (eV per atom): 1.23

=====

## AcTm2Sn (PBE)

Data for a relaxed AcTm2Sn crystal.

```
data_AcTm2Sn
_symmetry_space_group_name_H-M 'R -3 m'
_symmetry_Int_Tables_number 166
_symmetry_space_group_name_Hall '-R 3 2"'
_cell_length_a 3.6320
_cell_length_b 3.6320
_cell_length_c 35.2048
_cell_angle_alpha 90.00
_cell_angle_beta 90.00
_cell_angle_gamma 120.00
loop_
_atom_site_label
_atom_site_type_symbol
_atom_site_fract_x
_atom_site_fract_y
_atom_site_fract_z
Ac1 Ac 0.0000 0.0000 0.0000
Tm1 Tm 0.0000 0.0000 0.1005
Sn1 Sn 0.0000 0.0000 0.5000
```

Computed properties:
Distance to the lowest polymorph of the same formula (eV per atom): 0.314
ΔH_f (0 K) (eV/atom): 0.01

=====

## CsGe4O8 (PBE)

Data for a relaxed CsGe4O8 crystal.

```
data_CsGe4O8
_symmetry_space_group_name_H-M 'R -3 m'
_symmetry_Int_Tables_number 166
_symmetry_space_group_name_Hall '-R 3 2"'
_cell_length_a 5.9586
_cell_length_b 5.9586
_cell_length_c 22.3579
_cell_angle_alpha 90.00
_cell_angle_beta 90.00
_cell_angle_gamma 120.00
loop_
_atom_site_label
_atom_site_type_symbol
_atom_site_fract_x
_atom_site_fract_y
_atom_site_fract_z
Cs1 Cs 0.0000 0.0000 0.0000
Ge1 Ge 0.0000 0.0000 0.5000
Ge2 Ge 0.0000 0.5000 0.5000
O1 O 0.0000 0.0000 0.2107
O2 O 0.0005 0.5003 0.7890
```

Computed properties:
Energy relative to the elements, uncorrected (eV per atom): -1.52

=====

## CePaAsO2 (PBE)

Data for a relaxed CePaAsO2 crystal.

```
data_CePaAsO2
_symmetry_space_group_name_H-M 'I 4 m m'
_symmetry_Int_Tables_number 107
_symmetry_space_group_name_Hall 'I 4 -2'
_cell_length_a 3.845
_cell_length_b 3.845
_cell_length_c 12.310
_cell_angle_alpha 90.00
_cell_angle_beta 90.00
_cell_angle_gamma 90.00
loop_
_atom_site_label
_atom_site_type_symbol
_atom_site_fract_x
_atom_site_fract_y
_atom_site_fract_z
Ce1 Ce 0.000 0.000 0.000
Pa1 Pa 0.000 0.000 0.284
As1 As 0.000 0.000 0.645
O1 O 0.000 0.500 0.383
```

Computed properties:
Energy relative to the elements, uncorrected (eV per atom): -2.62

=====

## Si2TcP (PBE)

Data for a relaxed Si2TcP crystal.

```
data_Si2TcP
_symmetry_space_group_name_H-M 'C m m 2'
_symmetry_Int_Tables_number 35
_cell_length_a 3.147
_cell_length_b 4.913
_cell_length_c 7.451
_cell_angle_alpha 90.00
_cell_angle_beta 90.00
_cell_angle_gamma 90.00
loop_
_symmetry_equiv_pos_as_xyz
'x,y,z'
'-x,-y,z'
'-x,y,z'
'x,-y,z'
'x+1/2,y+1/2,z'
'-x+1/2,-y+1/2,z'
'-x+1/2,y+1/2,z'
'x+1/2,-y+1/2,z'
loop_
_atom_site_label
_atom_site_type_symbol
_atom_site_fract_x
_atom_site_fract_y
_atom_site_fract_z
Si1 Si 0.000 0.000 0.000
Si2 Si 0.000 0.500 0.256
Tc1 Tc 0.000 0.000 0.510
P1 P 0.000 0.500 0.754
```

Computed properties:
Energy relative to the elements, uncorrected (eV per atom): 0.29

=====

no.,total energy (eV/atom)
1,-3.947
2,-3.719
3,-5.098
4,-3.507
5,-5.350
6,-4.470
7,-5.285
8,-1.536
9,-4.252
10,-6.060
11,-8.620
12,-6.361